[1]
Entry from OQMD via LeMat-Bulk: crystalline Lu4SnPbN2 at its relaxed geometry (PBE).

The structure in CIF format:
```
data_Lu4SnPbN2
_cell_length_a 3.4513
_cell_length_b 3.4513
_cell_length_c 15.0230
_cell_angle_alpha 90.00
_cell_angle_beta 90.00
_cell_angle_gamma 120.00
_symmetry_space_group_name_H-M 'P -6 m 2'
_symmetry_Int_Tables_number 187
_symmetry_space_group_name_Hall 'P -6 2'
loop_
_atom_site_label
_atom_site_fract_x
_atom_site_fract_y
_atom_site_fract_z
Lu1 0.0000 0.0000 0.1641
Lu2 0.3333 0.6667 0.3322
Sn1 0.3333 0.6667 0.0000
Pb1 0.0000 0.0000 0.5000
N1 0.6667 0.3333 0.2494
```

Summary:
**Spin magnetization**: 0.00 μB per atom
**Total DFT energy (no corrections)**: -51.7 eV per cell

[2]
Entry from OQMD via LeMat-Bulk: crystalline DyBTe at its relaxed geometry (PBE).

The structure in CIF format:
```
data_DyBTe
_cell_length_a 6.407
_cell_length_b 6.407
_cell_length_c 6.407
_cell_angle_alpha 90.00
_cell_angle_beta 90.00
_cell_angle_gamma 90.00
_symmetry_space_group_name_H-M 'F -4 3 m'
_symmetry_Int_Tables_number 216
_symmetry_space_group_name_Hall 'F -4 2 3'
loop_
_atom_site_label
_atom_site_fract_x
_atom_site_fract_y
_atom_site_fract_z
Dy1 0.000 0.000 0.000
B1 0.250 0.250 0.250
Te1 0.000 0.000 0.500
```

Summary:
**ΔE to the lowest computed polymorph**: 0.000 eV per atom
**Spin magnetization**: 0.00 μB per atom
**Total DFT energy (no corrections)**: -54.5 eV per cell

[3]
Entry from OQMD via LeMat-Bulk: crystalline P4H12OsCl2 at its relaxed geometry (PBE).

The structure in CIF format:
```
data_P4H12OsCl2
_cell_length_a 6.512
_cell_length_b 6.512
_cell_length_c 11.539
_cell_angle_alpha 90.00
_cell_angle_beta 90.00
_cell_angle_gamma 90.00
_symmetry_space_group_name_H-M 'P 42/m n m'
_symmetry_Int_Tables_number 136
_symmetry_space_group_name_Hall '-P 4n 2n'
loop_
_atom_site_label
_atom_site_fract_x
_atom_site_fract_y
_atom_site_fract_z
P1 0.180 0.180 0.139
H1 0.102 0.664 0.361
H2 0.142 0.142 0.259
Os1 0.000 0.000 0.000
Cl1 0.234 0.234 0.500
```

Summary:
**Spin magnetization**: 0.00 μB per atom
**Total DFT energy (no corrections)**: -162.1 eV per cell

[4]
Entry from OQMD via LeMat-Bulk: crystalline HfZrI2N2 at its relaxed geometry (PBE).

The structure in CIF format:
```
data_HfZrI2N2
_cell_length_a 3.732
_cell_length_b 4.132
_cell_length_c 9.451
_cell_angle_alpha 90.00
_cell_angle_beta 90.00
_cell_angle_gamma 90.00
_symmetry_space_group_name_H-M 'P m m 2'
_symmetry_Int_Tables_number 25
loop_
_symmetry_equiv_pos_as_xyz
'x,y,z'
'-x,-y,z'
'-x,y,z'
'x,-y,z'
loop_
_atom_site_label
_atom_site_fract_x
_atom_site_fract_y
_atom_site_fract_z
Hf1 0.000 0.000 0.000
Zr1 0.500 0.500 0.821
I1 0.000 0.500 0.575
I2 0.500 0.000 0.242
N1 0.000 0.500 0.940
N2 0.500 0.000 0.887
```

Summary:
**Spin magnetization**: 0.00 μB per atom
**Total DFT energy (no corrections)**: -46.7 eV per cell